Here is Pm2NiIrO6 after structural relaxation from Alexandria. Energies are from PBE with a Hubbard U.

Total moment in μB/atom: 0.289
Final energy in eV per atom: -7.222

Lattice parameters (Å, degrees): 5.399 5.846 9.428 90.00 124.63 90.00
Space group P2_1/c (No. 14)
Inequivalent atoms, fractional coordinates:
Pm (0.227, 0.073, 0.251)
Ni (0.500, 0.000, 0.000)
Ir (0.000, 0.000, 0.500)
O (0.129, 0.199, 0.946)
O (0.254, 0.695, 0.947)
O (0.356, 0.036, 0.747)